(1)
Density functional theory data (GGA-PBE) for crystalline LaSn2Br2 at its relaxed geometry.

Values from the calculation:
**Symmetry**: No. 127
**Calculated volume**: 375 Å³/cell
**Electronic total energy**: -18.4 eV per formula unit
**Formation energy (no corrections)**: -2.1 eV per formula unit
**Fermi-level density of states**: 5.01 states/eV/cell

Lattice parameters (Å, degrees): 8.1929 8.1929 5.5894 90.00 90.00 90.00
Closest atoms and distances in Å follow each position.
Positions (direct):
Sn 0.1240 0.3760 0.0000  1 Sn 2.87, 2 Br 2.95
Sn 0.3760 0.8760 0.0000  1 Sn 2.87, 2 Br 2.95
Sn 0.6240 0.1240 0.0000  1 Sn 2.87, 2 Br 2.95
La 0.0000 0.0000 0.0000  4 Sn 3.24
Br 0.7064 0.2064 0.5000  2 Sn 2.95
Sn 0.8760 0.6240 0.0000  1 Sn 2.87, 2 Br 2.95
La 0.5000 0.5000 0.0000  4 Sn 3.24
Br 0.2064 0.2936 0.5000  2 Sn 2.95
Br 0.7936 0.7064 0.5000  2 Sn 2.95
Br 0.2936 0.7936 0.5000  2 Sn 2.95

(2)
Density functional theory data (GGA-PBE) for crystalline LaSn2Br at its relaxed geometry.

Values from the calculation:
**Symmetry**: No. 122
**Calculated volume**: 302 Å³/cell
**Electronic total energy**: -16.1 eV per formula unit
**Formation energy (no corrections)**: -1.5 eV per formula unit
**Fermi-level density of states**: 5.84 states/eV/cell

Lattice parameters (Å, degrees): 10.3459 10.3459 7.8410 48.72 48.72 90.00
Closest atoms and distances in Å follow each position.
Positions (direct):
Br 0.5000 0.5000 0.0000  2 La 2.82
La 0.7500 0.2500 0.5000  2 Br 2.82
Sn 0.0693 0.6250 0.2500  2 Sn 3.05, 2 La 3.35
La 0.0000 0.0000 0.0000  2 Br 2.82
Sn 0.3750 0.3193 0.7500  2 Sn 3.05, 2 La 3.35
Br 0.2500 0.7500 0.5000  2 La 2.82
Sn 0.6807 0.1250 0.2500  2 Sn 3.05, 2 La 3.35
Sn 0.8750 0.9307 0.7500  2 Sn 3.05, 2 La 3.35

(3)
Density functional theory data (GGA-PBE) for crystalline La2Sn2Br at its relaxed geometry.

Values from the calculation:
**Symmetry**: No. 127
**Calculated volume**: 327 Å³/cell
**Electronic total energy**: -24.5 eV per formula unit
**Formation energy (no corrections)**: -5.0 eV per formula unit
**Fermi-level density of states**: 11.16 states/eV/cell

Lattice parameters (Å, degrees): 8.4884 8.4884 4.5410 90.00 90.00 90.00
Closest atoms and distances in Å follow each position.
Positions (direct):
Sn 0.6176 0.8824 0.5000  1 Sn 2.82
La 0.3201 0.8201 0.0000  2 Br 3.12, 6 Sn 3.33-3.44
Sn 0.8824 0.3824 0.5000  1 Sn 2.82
La 0.1799 0.3201 0.0000  2 Br 3.12, 6 Sn 3.33-3.44
La 0.8201 0.6799 0.0000  2 Br 3.12, 6 Sn 3.33-3.44
Sn 0.3824 0.1176 0.5000  1 Sn 2.82
Br 0.5000 0.5000 0.0000  4 La 3.12
La 0.6799 0.1799 0.0000  2 Br 3.12, 6 Sn 3.33-3.44
Br 0.0000 0.0000 0.0000  4 La 3.12
Sn 0.1176 0.6176 0.5000  1 Sn 2.82

(4)
Density functional theory data (GGA-PBE) for crystalline La5Sn3Br at its relaxed geometry.

Values from the calculation:
**Symmetry**: No. 193
**Calculated volume**: 570 Å³/cell
**Electronic total energy**: -47.1 eV per formula unit
**Formation energy (no corrections)**: -8.8 eV per formula unit
**Fermi-level density of states**: 15.54 states/eV/cell

Lattice parameters (Å, degrees): 9.7112 9.7112 6.9805 90.00 90.00 120.00
Closest atoms and distances in Å follow each position.
Positions (direct):
La 0.7317 0.0000 0.7500  2 Br 3.14, 3 Sn 3.33-3.36
La 0.0000 0.7317 0.7500  2 Br 3.14, 3 Sn 3.33-3.36
La 0.3333 0.6667 0.5000  6 Sn 3.48, 2 La 3.49
La 0.7317 0.7317 0.2500  2 Br 3.14, 3 Sn 3.33-3.36
Sn 0.3861 0.0000 0.7500  9 La 3.33-3.67
Sn 0.0000 0.3861 0.7500  9 La 3.33-3.67
Sn 0.0000 0.6139 0.2500  9 La 3.33-3.67
Sn 0.6139 0.6139 0.7500  9 La 3.33-3.67
La 0.6667 0.3333 0.5000  6 Sn 3.48, 2 La 3.49
La 0.2683 0.0000 0.2500  2 Br 3.14, 3 Sn 3.33-3.36
Br 0.0000 0.0000 0.0000  6 La 3.14, 2 Br 3.49
Sn 0.3861 0.3861 0.2500  9 La 3.33-3.67
Br 0.0000 0.0000 0.5000  6 La 3.14, 2 Br 3.49
La 0.0000 0.2683 0.2500  2 Br 3.14, 3 Sn 3.33-3.36
La 0.3333 0.6667 0.0000  6 Sn 3.48, 2 La 3.49
Sn 0.6139 0.0000 0.2500  9 La 3.33-3.67
La 0.6667 0.3333 0.0000  6 Sn 3.48, 2 La 3.49
La 0.2683 0.2683 0.7500  2 Br 3.14, 3 Sn 3.33-3.36

(5)
Density functional theory data (GGA-PBE) for crystalline La3SnBr3 at its relaxed geometry.

Values from the calculation:
**Symmetry**: No. 155
**Calculated volume**: 1006 Å³/cell
**Electronic total energy**: -34.0 eV per formula unit
**Formation energy (no corrections)**: -10.2 eV per formula unit
**Fermi-level density of states**: 10.98 states/eV/cell

Lattice parameters (Å, degrees): 10.9441 10.9498 10.9409 109.57 109.54 109.56
Closest atoms and distances in Å follow each position.
Positions (direct):
La 0.7539 0.7500 0.2463  2 Sn 3.11, 4 Br 3.16-3.20
Br 0.7500 0.9997 0.5004  4 La 3.17-3.20
La 0.2501 0.0042 0.4959  2 Sn 3.11, 4 Br 3.16-3.21
La 0.2500 0.2461 0.2539  2 Sn 3.11, 4 Br 3.17-3.21
Br 0.2485 0.9989 0.9982  4 La 3.17-3.21
Br 0.5000 0.5003 0.2498  4 La 3.17-3.21
Br 0.2497 0.2502 0.7507  4 La 3.16-3.21
Sn 0.5004 0.2501 0.4998  6 La 3.11
Br 0.7500 0.7507 0.7492  4 La 3.16-3.20
La 0.5074 0.2531 0.0031  2 Sn 3.11, 4 Br 3.16-3.21
Br 0.4983 0.7484 0.9989  4 La 3.16-3.21
Br 0.0017 0.5011 0.7516  4 La 3.16-3.21
Br 0.0010 0.7514 0.5020  4 La 3.16-3.21
La 0.7462 0.2537 0.7500  2 Sn 3.11, 4 Br 3.17-3.20
Sn 0.7500 0.4996 0.0003  6 La 3.11
La 0.9955 0.7497 0.0038  2 Sn 3.11, 4 Br 3.16-3.21
Sn 0.9997 0.0002 0.2500  6 La 3.11
La 0.9926 0.4968 0.2469  2 Sn 3.11, 4 Br 3.16-3.21
La 0.5035 0.0075 0.2532  2 Sn 3.11, 4 Br 3.17-3.21
Br 0.2503 0.7494 0.2499  4 La 3.16-3.21
Br 0.4990 0.9980 0.7486  4 La 3.16-3.21
Br 0.0000 0.2502 0.9996  4 La 3.16-3.21
La 0.9965 0.2468 0.4925  2 Sn 3.11, 4 Br 3.17-3.21
La 0.7531 0.0031 0.0073  2 Sn 3.11, 4 Br 3.16-3.21
Sn 0.7500 0.2501 0.2499  6 La 3.11
La 0.7469 0.4927 0.4969  2 Sn 3.11, 4 Br 3.16-3.21
La 0.5044 0.4961 0.7502  2 Sn 3.11, 4 Br 3.16-3.21
Br 0.2515 0.5018 0.5011  4 La 3.17-3.21

(6)
Density functional theory data (GGA-PBE) for crystalline La3SnBr at its relaxed geometry.

Values from the calculation:
**Symmetry**: No. 65
**Calculated volume**: 333 Å³/cell
**Electronic total energy**: -23.4 eV per formula unit
**Formation energy (no corrections)**: -3.0 eV per formula unit
**Fermi-level density of states**: 9.67 states/eV/cell

Lattice parameters (Å, degrees): 5.4628 7.6151 8.8547 115.47 90.00 90.00
Closest atoms and distances in Å follow each position.
Positions (direct):
Sn 0.0000 0.6341 0.2682  11 La 3.43-3.82
La 0.0000 0.8487 0.6974  2 Br 2.82
Br 0.5000 0.1067 0.2134  6 La 2.82-2.98
Br 0.5000 0.8933 0.7866  6 La 2.82-2.98
Sn 0.0000 0.3659 0.7318  11 La 3.43-3.82
La 0.5000 0.6862 0.0000  1 La 2.84, 2 Br 2.94
La 0.5000 0.3138 0.0000  1 La 2.84, 2 Br 2.94
La 0.5000 0.5000 0.5000  2 Br 2.98
La 0.5000 0.0000 0.5000  2 Br 2.98
La 0.0000 0.1513 0.3026  2 Br 2.82

(7)
Density functional theory data (GGA-PBE) for crystalline La3SnBr2 at its relaxed geometry.

Values from the calculation:
**Symmetry**: No. 15
**Calculated volume**: 376 Å³/cell
**Electronic total energy**: -29.2 eV per formula unit
**Formation energy (no corrections)**: -7.0 eV per formula unit
**Fermi-level density of states**: 8.42 states/eV/cell

Lattice parameters (Å, degrees): 7.9992 7.6465 7.6465 121.53 99.38 99.38
Closest atoms and distances in Å follow each position.
Positions (direct):
La 0.5000 0.0000 0.5000  4 Br 3.14-3.16, 2 Sn 3.16
Br 0.2500 0.9153 0.0847  6 La 3.13-3.14
Sn 0.2500 0.5825 0.4175  6 La 3.16-3.18
Br 0.2500 0.2572 0.7428  6 La 3.12-3.19
Br 0.7500 0.0847 0.9153  6 La 3.13-3.14
La 0.4967 0.3264 0.1602  4 Br 3.12-3.19, 2 Sn 3.17-3.18
La 0.5033 0.6736 0.8398  4 Br 3.12-3.19, 2 Sn 3.17-3.18
Sn 0.7500 0.4175 0.5825  6 La 3.16-3.18
La 0.0000 0.5000 0.0000  4 Br 3.14-3.16, 2 Sn 3.16
La 0.0033 0.8398 0.6736  4 Br 3.12-3.19, 2 Sn 3.17-3.18
La 0.9967 0.1602 0.3264  4 Br 3.12-3.19, 2 Sn 3.17-3.18
Br 0.7500 0.7428 0.2572  6 La 3.12-3.19

(8)
Density functional theory data (GGA-PBE) for crystalline La2SnBr3 at its relaxed geometry.

Values from the calculation:
**Symmetry**: No. 12
**Calculated volume**: 492 Å³/cell
**Electronic total energy**: -28.0 eV per formula unit
**Formation energy (no corrections)**: -9.1 eV per formula unit
**Fermi-level density of states**: 0.81 states/eV/cell

Lattice parameters (Å, degrees): 4.4153 10.0518 12.5868 114.83 90.00 102.69
Closest atoms and distances in Å follow each position.
Positions (direct):
Br 0.9914 0.9828 0.6567  2 La 2.97
Br 0.6883 0.3767 0.3431  2 La 2.87-3.04
La 0.2944 0.5889 0.8717  3 Br 2.87-3.08, 2 Sn 3.17
Br 0.3117 0.6233 0.6569  2 La 2.87-3.04
La 0.5184 0.0368 0.1925  3 Br 2.97-3.04
La 0.4816 0.9632 0.8075  3 Br 2.97-3.04
Br 0.6809 0.3617 0.8567  3 La 3.08-3.24
Br 0.3191 0.6383 0.1433  3 La 3.08-3.24
Br 0.0086 0.0172 0.3433  2 La 2.97
Sn 0.9224 0.8449 0.9687  1 Sn 2.79
Sn 0.0776 0.1551 0.0313  1 Sn 2.79
La 0.7056 0.4111 0.1283  3 Br 2.87-3.08, 2 Sn 3.17

(9)
Density functional theory data (GGA-PBE) for crystalline LaSn2Br at its relaxed geometry.

Values from the calculation:
**Symmetry**: No. 225
**Calculated volume**: 120 Å³/cell
**Electronic total energy**: -15.4 eV per formula unit
**Formation energy (no corrections)**: -0.8 eV per formula unit
**Fermi-level density of states**: 2.12 states/eV/cell

Lattice parameters (Å, degrees): 5.5414 5.5414 5.5414 60.00 60.00 60.00
Closest atoms and distances in Å follow each position.
Positions (direct):
Sn 0.7500 0.7500 0.7500  4 La 3.39, 4 Br 3.39
Br 0.0000 0.0000 0.0000  8 Sn 3.39
La 0.5000 0.5000 0.5000  8 Sn 3.39
Sn 0.2500 0.2500 0.2500  4 La 3.39, 4 Br 3.39

(10)
Density functional theory data (GGA-PBE) for crystalline LaSn2Br2 at its relaxed geometry.

Values from the calculation:
**Symmetry**: No. 139
**Calculated volume**: 161 Å³/cell
**Electronic total energy**: -17.5 eV per formula unit
**Formation energy (no corrections)**: -1.3 eV per formula unit
**Fermi-level density of states**: 5.15 states/eV/cell

Lattice parameters (Å, degrees): 4.9199 4.9199 7.5211 70.91 70.91 90.00
Closest atoms and distances in Å follow each position.
Positions (direct):
Br 0.7500 0.2500 0.5000  4 Sn 3.15, 4 Br 3.48
Sn 0.3979 0.3979 0.2043  1 Sn 2.72
Sn 0.6021 0.6021 0.7957  1 Sn 2.72
Br 0.2500 0.7500 0.5000  4 Sn 3.15, 4 Br 3.48
La 0.0000 0.0000 0.0000  8 Sn 3.74, 8 Br 4.14

(11)
Density functional theory data (GGA-PBE) for crystalline LaSnBr at its relaxed geometry.

Values from the calculation:
**Symmetry**: No. 12
**Calculated volume**: 196 Å³/cell
**Electronic total energy**: -14.1 eV per formula unit
**Formation energy (no corrections)**: -3.5 eV per formula unit
**Fermi-level density of states**: 2.28 states/eV/cell

Lattice parameters (Å, degrees): 5.0568 5.0568 10.2547 84.34 106.52 128.55
Closest atoms and distances in Å follow each position.
Positions (direct):
La 0.8716 0.4044 0.2760  3 Br 3.14-3.26, 5 Sn 3.36-3.49
Br 0.5590 0.3190 0.8780  3 La 3.14-3.26
Br 0.4410 0.6810 0.1220  3 La 3.14-3.26
Sn 0.3246 0.1429 0.4674  3 Sn 2.83-2.91
Sn 0.6754 0.8571 0.5326  3 Sn 2.83-2.91
La 0.1284 0.5956 0.7240  3 Br 3.14-3.26, 5 Sn 3.36-3.49

(12)
Density functional theory data (GGA-PBE) for crystalline La2TaSnBr at its relaxed geometry.

Values from the calculation:
**Symmetry**: No. 123
**Calculated volume**: 152 Å³/cell
**Electronic total energy**: -26.7 eV per formula unit
**Formation energy (no corrections)**: 0.7 eV per formula unit
**Fermi-level density of states**: 4.27 states/eV/cell

Lattice parameters (Å, degrees): 5.6336 4.7932 5.6336 90.00 90.00 90.00
Closest atoms and distances in Å follow each position.
Positions (direct):
Ta 0.0000 0.5000 0.0000  2 Br 2.40
Sn 0.5000 0.5000 0.5000  8 La 3.70, 4 Ta 3.98
La 0.5000 0.0000 0.0000  2 Br 2.82
Br 0.0000 0.0000 0.0000  2 Ta 2.40
La 0.0000 0.0000 0.5000  2 Br 2.82